MgH2 SCAN single point on PBEsol structure; space group = P4_2/mnm; calculated volume = 60.1 Å³/cell; E = -4.24 eV/atom; total magnetic moment = 0.000 μB per atom
1.0
3.008 0.000 0.000
0.000 4.468 0.000
0.000 0.000 4.468
H Mg
4 2
Cartesian
1.504 3.594 0.874
1.504 0.874 3.594
0.000 1.360 1.360
0.000 3.108 3.108
1.504 2.234 2.234
0.000 0.000 0.000